1.
Material: LiZrPd14
Method: DFT, PBE-GGA
State: relaxed

Output
- DOS(E_F) (states/eV per atom) = 1.614
- calculated total energy (eV per cell) = -87.40
- calculated formation energy (eV per atom) = -0.2652
- SG = P4/mmm
- magnetization (Bohr magnetons per cell) = 0.00
- calculated density (g cm⁻³) = 10.60

```
data_LiZrPd14
_cell_length_a 5.617
_cell_length_b 5.617
_cell_length_c 7.886
_cell_angle_alpha 90.00
_cell_angle_beta 90.00
_cell_angle_gamma 90.00
_space_group_name_H-M_alt 'P 1'
_space_group_IT_number 1
loop_
_space_group_symop_operation_xyz
'x,y,z'
loop_
_atom_site_label
_atom_site_type_symbol
_atom_site_fract_x
_atom_site_fract_y
_atom_site_fract_z
Li1 Li 0.000 0.000 0.000
Zr1 Zr 0.500 0.500 0.000
Pd1 Pd 0.000 0.000 0.500
Pd2 Pd 0.000 0.500 0.000
Pd3 Pd 0.000 0.500 0.500
Pd4 Pd 0.249 0.249 0.248
Pd5 Pd 0.249 0.249 0.752
Pd6 Pd 0.249 0.751 0.248
Pd7 Pd 0.249 0.751 0.752
Pd8 Pd 0.500 0.000 0.000
Pd9 Pd 0.500 0.000 0.500
Pd10 Pd 0.500 0.500 0.500
Pd11 Pd 0.751 0.249 0.248
Pd12 Pd 0.751 0.249 0.752
Pd13 Pd 0.751 0.751 0.248
Pd14 Pd 0.751 0.751 0.752
```

=====

2.
Material: Li2Pm
Method: DFT, PBE-GGA
State: relaxed

Output
- DOS(E_F) (states/eV per atom) = 1.040
- calculated total energy (eV per cell) = -8.21
- distance to the lowest polymorph of the same formula (meV/atom) = 20
- calculated formation energy (eV per atom) = 0.1243
- SG = I4/mmm
- magnetization (Bohr magnetons per cell) = 0.24
- calculated density (g cm⁻³) = 3.58

```
data_Li2Pm
_cell_length_a 6.201
_cell_length_b 6.201
_cell_length_c 6.201
_cell_angle_alpha 146.16
_cell_angle_beta 146.16
_cell_angle_gamma 48.61
_space_group_name_H-M_alt 'P 1'
_space_group_IT_number 1
loop_
_space_group_symop_operation_xyz
'x,y,z'
loop_
_atom_site_label
_atom_site_type_symbol
_atom_site_fract_x
_atom_site_fract_y
_atom_site_fract_z
Li1 Li 0.193 0.193 0.000
Li2 Li 0.807 0.807 0.000
Pm1 Pm 0.500 0.500 0.000
```

=====

3.
Material: Li2Pm
Method: DFT, PBE-GGA
State: relaxed

Output
- DOS(E_F) (states/eV per atom) = 0.708
- calculated total energy (eV per cell) = -16.53
- distance to the lowest polymorph of the same formula (meV/atom) = 0
- calculated formation energy (eV per atom) = 0.1041
- SG = Fd-3m
- magnetization (Bohr magnetons per cell) = 0.00
- calculated density (g cm⁻³) = 3.57

```
data_Li2Pm
_cell_length_a 5.936
_cell_length_b 5.936
_cell_length_c 5.936
_cell_angle_alpha 60.00
_cell_angle_beta 60.00
_cell_angle_gamma 60.00
_space_group_name_H-M_alt 'P 1'
_space_group_IT_number 1
loop_
_space_group_symop_operation_xyz
'x,y,z'
loop_
_atom_site_label
_atom_site_type_symbol
_atom_site_fract_x
_atom_site_fract_y
_atom_site_fract_z
Li1 Li 0.000 0.000 0.000
Li2 Li 0.000 0.000 0.500
Li3 Li 0.000 0.500 0.000
Li4 Li 0.500 0.000 0.000
Pm1 Pm 0.375 0.375 0.375
Pm2 Pm 0.625 0.625 0.625
```

=====

4.
Material: Li2Pm
Method: DFT, PBE-GGA
State: relaxed

Output
- DOS(E_F) (states/eV per atom) = 0.611
- calculated total energy (eV per cell) = -8.23
- distance to the lowest polymorph of the same formula (meV/atom) = 13
- calculated formation energy (eV per atom) = 0.1170
- SG = P-1
- magnetization (Bohr magnetons per cell) = 0.00
- calculated density (g cm⁻³) = 3.30

```
data_Li2Pm
_cell_length_a 3.385
_cell_length_b 3.385
_cell_length_c 8.277
_cell_angle_alpha 101.57
_cell_angle_beta 90.06
_cell_angle_gamma 119.96
_space_group_name_H-M_alt 'P 1'
_space_group_IT_number 1
loop_
_space_group_symop_operation_xyz
'x,y,z'
loop_
_atom_site_label
_atom_site_type_symbol
_atom_site_fract_x
_atom_site_fract_y
_atom_site_fract_z
Li1 Li 0.218 0.436 0.152
Li2 Li 0.782 0.564 0.848
Pm1 Pm 0.000 0.000 0.500
```

=====

5.
Material: LiPm2
Method: DFT, PBE-GGA
State: relaxed

Output
- DOS(E_F) (states/eV per atom) = 1.500
- calculated total energy (eV per cell) = -11.17
- calculated formation energy (eV per atom) = 0.0818
- SG = I4/mmm
- magnetization (Bohr magnetons per cell) = 0.29
- calculated density (g cm⁻³) = 5.54

```
data_LiPm2
_cell_length_a 6.849
_cell_length_b 6.849
_cell_length_c 6.849
_cell_angle_alpha 148.17
_cell_angle_beta 148.17
_cell_angle_gamma 45.64
_space_group_name_H-M_alt 'P 1'
_space_group_IT_number 1
loop_
_space_group_symop_operation_xyz
'x,y,z'
loop_
_atom_site_label
_atom_site_type_symbol
_atom_site_fract_x
_atom_site_fract_y
_atom_site_fract_z
Li1 Li 0.000 0.000 0.000
Pm1 Pm 0.347 0.347 0.000
Pm2 Pm 0.653 0.653 0.000
```

=====

6.
Material: LiPmPr
Method: DFT, PBE-GGA
State: relaxed

Output
- DOS(E_F) (states/eV per atom) = 1.048
- calculated total energy (eV per cell) = -11.15
- distance to the lowest polymorph of the same formula (meV/atom) = 52
- calculated formation energy (eV per atom) = 0.0971
- SG = P3m1
- magnetization (Bohr magnetons per cell) = 0.00
- calculated density (g cm⁻³) = 5.13

```
data_LiPmPr
_cell_length_a 3.589
_cell_length_b 3.589
_cell_length_c 8.504
_cell_angle_alpha 90.00
_cell_angle_beta 90.00
_cell_angle_gamma 120.00
_space_group_name_H-M_alt 'P 1'
_space_group_IT_number 1
loop_
_space_group_symop_operation_xyz
'x,y,z'
loop_
_atom_site_label
_atom_site_type_symbol
_atom_site_fract_x
_atom_site_fract_y
_atom_site_fract_z
Li1 Li 0.000 0.000 0.000
Pm1 Pm 0.667 0.333 0.324
Pr1 Pr 0.333 0.667 0.671
```

=====

- Which of these has the highest calculated total energy?
  number 2